MoAuO2F, optimized geometry, DFT PBE with a Hubbard U; crystal system = tetragonal; space-group type = P4/mmm, No. 123; magnetization = 1.87 μB per formula unit; E = -26.94 eV for the cell shown; calculated density = 8.322 g/cm3; density of states at the Fermi level = 1.33 states/eV/f.u.
1.0
4.024 0.000 0.000
0.000 4.024 0.000
0.000 0.000 4.237
O F Au Mo
2 1 1 1
Direct
0.500 0.000 0.000 O
0.000 0.500 0.000 O
0.000 0.000 0.500 F
0.500 0.500 0.500 Au
0.000 0.000 0.000 Mo